#A
# PtW2Au

Crystalline PtW2Au at its relaxed geometry (GGA-PBE, Alexandria via LeMat-Bulk).

POSCAR file:
```
PtW2Au
1.0
-1.353 7.798 5.372
-0.915 5.935 7.446
1.279 7.184 6.184
Au W Pt
1 2 1
direct
0.250 0.250 0.250
0.002 0.002 0.002
0.498 0.498 0.498
0.750 0.750 0.750
```

#B
# PtW2Au

Crystalline PtW2Au at its relaxed geometry (GGA-PBE, Alexandria via LeMat-Bulk).

POSCAR file:
```
PtW2Au
1.0
-4.723 -1.669 -0.697
3.684 -2.957 3.968
-0.525 0.370 2.679
W Pt Au
2 1 1
direct
0.000 0.500 0.500
0.000 0.000 0.000
0.500 0.000 0.500
0.500 0.500 0.000
```

#C
# PtW2Au

Crystalline PtW2Au at its relaxed geometry (GGA-PBE, Alexandria via LeMat-Bulk).

POSCAR file:
```
PtW2Au
1.0
-2.800 2.854 -2.835
-4.195 0.501 -2.484
-2.731 2.166 3.658
W Au Pt
2 1 1
direct
0.002 0.002 0.994
0.253 0.253 0.249
0.502 0.502 0.497
0.742 0.742 0.759
```

Of them, #A has the lowest stability.

#A
# Pt2WAu

Crystalline Pt2WAu at its relaxed geometry (GGA-PBE, Alexandria via LeMat-Bulk).

POSCAR file:
```
Pt2WAu
1.0
4.873 0.000 0.000
0.000 4.873 0.000
0.000 0.000 2.786
Pt Au W
2 1 1
direct
0.500 0.500 0.000
0.000 0.000 0.000
0.000 0.500 0.500
0.500 0.000 0.500
```

#B
# Pt2WAu

Crystalline Pt2WAu at its relaxed geometry (GGA-PBE, Alexandria via LeMat-Bulk).

POSCAR file:
```
Pt2WAu
1.0
4.844 0.000 0.004
4.026 2.694 0.004
0.788 0.239 4.946
Pt W Au
2 1 1
direct
0.494 0.494 0.514
0.006 0.006 0.986
0.750 0.750 0.750
0.250 0.250 0.250
```

Of them, #A has the lowest stability.

#A
# YPtAu3

Crystalline YPtAu3 at its relaxed geometry (GGA-PBE, Alexandria via LeMat-Bulk).

POSCAR file:
```
YPtAu3
1.0
-1.065 -4.243 -2.814
3.452 1.512 -3.586
5.530 -3.308 7.701
Au Y Pt
6 2 2
direct
0.674 0.674 0.348
0.124 0.873 0.747
0.326 0.326 0.652
0.127 0.876 0.253
0.622 0.873 0.747
0.127 0.378 0.253
0.576 0.076 0.152
0.924 0.424 0.848
0.250 0.750 0.500
0.000 0.000 0.000
```

#B
# YPtAu3

Crystalline YPtAu3 at its relaxed geometry (GGA-PBE, Alexandria via LeMat-Bulk).

POSCAR file:
```
YPtAu3
1.0
5.303 0.000 0.000
0.000 5.303 0.000
0.000 0.000 5.303
Au Y Pt
3 1 1
direct
0.000 0.500 0.000
0.000 0.000 0.500
0.500 0.000 0.000
0.000 0.000 0.000
0.500 0.500 0.500
```

#C
# YPtAu3

Crystalline YPtAu3 at its relaxed geometry (GGA-PBE, Alexandria via LeMat-Bulk).

POSCAR file:
```
YPtAu3
1.0
-1.537 4.380 -1.988
0.874 -1.798 -4.637
-4.730 -1.755 -0.211
Y Au Pt
1 3 1
direct
0.500 0.500 0.500
0.000 0.500 0.000
0.500 0.000 0.000
0.000 0.000 0.500
0.000 0.000 0.000
```

Of them, #B has the lowest stability.

#A
# Y4PtAu

Crystalline Y4PtAu at its relaxed geometry (GGA-PBE, Alexandria via LeMat-Bulk).

POSCAR file:
```
Y4PtAu
1.0
7.002 0.000 -0.081
0.000 7.040 0.000
-0.184 0.000 7.072
Y Au Pt
8 2 2
direct
0.329 0.340 0.345
0.829 0.160 0.345
0.146 0.344 0.834
0.671 0.660 0.655
0.354 0.844 0.166
0.854 0.656 0.166
0.646 0.156 0.834
0.171 0.840 0.655
0.500 0.500 0.000
0.000 0.000 0.000
0.500 0.000 0.500
0.000 0.500 0.500
```

#B
# Y4PtAu

Crystalline Y4PtAu at its relaxed geometry (GGA-PBE, Alexandria via LeMat-Bulk).

POSCAR file:
```
Y4PtAu
1.0
-3.922 -1.754 -2.223
4.259 -0.706 -6.955
4.309 -14.895 4.150
Au Y Pt
4 16 4
direct
0.750 0.233 0.437
0.750 0.733 0.063
0.250 0.267 0.937
0.250 0.767 0.563
0.250 0.649 0.932
0.750 0.928 0.221
0.750 0.351 0.068
0.750 0.428 0.279
0.750 0.367 0.840
0.250 0.034 0.074
0.750 0.466 0.574
0.250 0.534 0.426
0.250 0.633 0.160
0.750 0.867 0.660
0.250 0.072 0.779
0.250 0.572 0.721
0.750 0.851 0.432
0.250 0.133 0.340
0.250 0.149 0.568
0.750 0.966 0.926
0.750 0.201 0.687
0.250 0.299 0.187
0.250 0.799 0.313
0.750 0.701 0.813
```

#C
# Y4PtAu

Crystalline Y4PtAu at its relaxed geometry (GGA-PBE, Alexandria via LeMat-Bulk).

POSCAR file:
```
Y4PtAu
1.0
1.428 -3.639 -4.541
0.840 -5.848 0.997
-3.994 -3.987 -2.014
Y Pt Au
4 1 1
direct
0.374 0.877 0.374
0.374 0.374 0.877
0.374 0.374 0.374
0.877 0.374 0.374
0.000 0.000 0.000
0.750 0.750 0.750
```

Of them, #C has the lowest stability.

#A
# Zn8PtAu2

Crystalline Zn8PtAu2 at its relaxed geometry (GGA-PBE, Alexandria via LeMat-Bulk).

POSCAR file:
```
Zn8PtAu2
1.0
4.407 0.838 0.000
1.493 6.792 0.000
0.747 3.396 6.251
Zn Pt Au
8 1 2
direct
0.856 0.309 0.787
0.696 0.599 0.000
0.500 0.795 0.409
0.500 0.205 0.591
0.304 0.401 0.000
0.144 0.904 0.787
0.856 0.096 0.213
0.144 0.691 0.213
0.500 0.000 0.000
0.000 0.694 0.612
0.000 0.306 0.388
```

#B
# Zn8PtAu2

Crystalline Zn8PtAu2 at its relaxed geometry (GGA-PBE, Alexandria via LeMat-Bulk).

POSCAR file:
```
Zn8PtAu2
1.0
4.290 0.000 -0.961
-0.232 4.614 -1.036
-0.218 -0.245 9.081
Zn Pt Au
8 1 2
direct
0.248 0.339 0.496
0.752 0.661 0.504
0.076 0.181 0.152
0.658 0.101 0.317
0.425 0.444 0.850
0.342 0.899 0.683
0.924 0.819 0.848
0.575 0.556 0.150
0.500 0.000 0.000
0.830 0.232 0.661
0.170 0.768 0.339
```

Of them, #A has the lowest stability.

#A
# Zn3PtAu

Crystalline Zn3PtAu at its relaxed geometry (GGA-PBE, Alexandria via LeMat-Bulk).

POSCAR file:
```
Zn3PtAu
1.0
4.105 -0.001 0.000
0.001 5.391 0.000
0.000 0.000 7.405
Zn Au Pt
6 2 2
direct
0.250 0.995 0.263
0.750 0.005 0.737
0.250 0.505 0.263
0.750 0.495 0.737
0.750 0.750 0.072
0.250 0.250 0.928
0.750 0.750 0.430
0.250 0.250 0.570
0.250 0.750 0.861
0.750 0.250 0.139
```

#B
# Zn3PtAu

Crystalline Zn3PtAu at its relaxed geometry (GGA-PBE, Alexandria via LeMat-Bulk).

POSCAR file:
```
Zn3PtAu
1.0
-3.105 -3.138 -1.882
2.347 0.186 -4.182
2.808 -3.626 1.414
Zn Pt Au
3 1 1
direct
0.000 0.000 0.500
0.500 0.000 0.000
0.000 0.500 0.000
0.000 0.000 0.000
0.500 0.500 0.500
```

Of them, #B has the lowest stability.

#A
# ZnPt3Au

Crystalline ZnPt3Au at its relaxed geometry (GGA-PBE, Alexandria via LeMat-Bulk).

POSCAR file:
```
ZnPt3Au
1.0
5.377 0.000 0.000
0.000 7.329 0.000
0.000 0.000 8.935
Pt Au Zn
12 4 4
direct
0.836 0.070 0.221
0.915 0.250 0.748
0.664 0.930 0.721
0.585 0.750 0.248
0.164 0.570 0.779
0.836 0.430 0.221
0.664 0.570 0.721
0.415 0.250 0.752
0.085 0.750 0.252
0.336 0.070 0.279
0.336 0.430 0.279
0.164 0.930 0.779
0.500 0.500 0.000
0.000 0.000 0.500
0.500 0.000 0.000
0.000 0.500 0.500
0.603 0.250 0.482
0.103 0.250 0.018
0.897 0.750 0.982
0.397 0.750 0.518
```

#B
# ZnPt3Au

Crystalline ZnPt3Au at its relaxed geometry (GGA-PBE, Alexandria via LeMat-Bulk).

POSCAR file:
```
ZnPt3Au
1.0
4.605 0.000 0.000
0.000 4.605 0.000
0.000 0.000 4.605
Pt Zn Au
3 1 1
direct
0.000 0.500 0.000
0.500 0.000 0.000
0.000 0.000 0.500
0.000 0.000 0.000
0.500 0.500 0.500
```

Of them, #B has the lowest stability.

#A
# Zn4PtAu

Crystalline Zn4PtAu at its relaxed geometry (GGA-PBE, Alexandria via LeMat-Bulk).

POSCAR file:
```
Zn4PtAu
1.0
2.795 0.000 0.808
1.502 4.570 0.043
-0.527 -0.962 7.060
Zn Pt Au
4 1 1
direct
0.841 0.492 0.826
0.159 0.508 0.174
0.676 0.989 0.658
0.324 0.011 0.342
0.500 0.500 0.500
0.000 0.000 0.000
```

#B
# Zn4PtAu

Crystalline Zn4PtAu at its relaxed geometry (GGA-PBE, Alexandria via LeMat-Bulk).

POSCAR file:
```
Zn4PtAu
1.0
-2.132 -2.229 4.877
0.128 -6.058 -2.712
5.701 2.919 1.874
Zn Au Pt
8 2 2
direct
0.879 0.921 0.760
0.121 0.079 0.240
0.621 0.161 0.240
0.379 0.839 0.760
0.121 0.661 0.240
0.879 0.339 0.760
0.621 0.579 0.240
0.379 0.421 0.760
0.000 0.500 0.500
0.500 0.000 0.500
0.750 0.750 0.000
0.250 0.250 0.000
```

#C
# Zn4PtAu

Crystalline Zn4PtAu at its relaxed geometry (GGA-PBE, Alexandria via LeMat-Bulk).

POSCAR file:
```
Zn4PtAu
1.0
0.000 3.550 3.550
3.550 0.000 3.550
3.550 3.550 0.000
Au Pt Zn
1 1 4
direct
0.750 0.750 0.750
0.000 0.000 0.000
0.876 0.375 0.375
0.375 0.876 0.375
0.375 0.375 0.876
0.375 0.375 0.375
```

Of them, #C has the lowest stability.